1.
A relaxed structure of KNa2Cu2, computed with GGA-PBE.

abc: 8.866 8.866 3.202
angles: 90.00 90.00 90.00
Space group P4/mbm (No. 127)
Asymmetric unit:
K (0.000, 0.000, 0.000) [2 per cell]
Na (0.125, 0.375, 0.000) [4 per cell]
Cu (0.169, 0.669, 0.500) [4 per cell]

Summary:
- Fermi-level density of states: 0.310 states/eV per atom
- Offset from the most stable computed form: 59 meV per atom
- V: 25.17 Å³/atom
- M_tot: 0.00 Bohr magnetons per cell

***

2.
A relaxed structure of Cs2TePd, computed with GGA-PBE.

abc: 5.459 5.459 23.237
angles: 90.00 90.00 90.00
Space group I-42d (No. 122)
Asymmetric unit:
Cs (0.220, 0.250, 0.125) [8 per cell]
Te (0.000, 0.000, 0.500) [4 per cell]
Pd (0.000, 0.000, 0.000) [4 per cell]

Summary:
- Formation energy without anion corrections: 0.023 eV per atom
- Fermi-level density of states: 0.175 states/eV per atom
- Offset from the most stable computed form: 145 meV per atom
- V: 43.28 Å³/atom
- M_tot: 0.00 Bohr magnetons per cell

***

3.
A relaxed structure of Zr3Br3N, computed with GGA-PBE.

abc: 6.0365 6.0365 31.2388
angles: 90.00 90.00 120.00
Space group R-3 (No. 148, hexagonal axes)
Asymmetric unit:
Zr (0.0000, 0.3462, 0.0382) [18 per cell]
Br (0.0000, 0.3316, 0.8995) [18 per cell]
N (0.0000, 0.0000, 0.3333) [6 per cell]

Summary:
- Formation energy without anion corrections: -1.265 eV per atom
- Fermi-level density of states: 0.569 states/eV per atom
- V: 23.47 Å³/atom
- M_tot: 2.07 Bohr magnetons per cell

***

4.
A relaxed structure of SmTmPa2Rh4, computed with GGA-PBE.

abc: 7.647 10.911 8.348
angles: 90.00 90.00 90.00
Space group Fmm2 (No. 42)
Asymmetric unit:
Sm (0.000, 0.000, 0.000) [4 per cell]
Tm (0.000, 0.000, 0.585) [4 per cell]
Pa (0.250, 0.250, 0.229) [8 per cell]
Rh (0.000, 0.232, 0.469) [8 per cell]
Rh (0.195, 0.000, 0.287) [8 per cell]

Summary:
- Fermi-level density of states: 0.913 states/eV per atom
- V: 21.77 Å³/atom
- M_tot: 0.00 Bohr magnetons per cell
- Uncorrected energy: -0.5811 Ry per atom

***

5.
A relaxed structure of Pu2Ga4Pd3Au, computed with GGA-PBE.

abc: 4.239 4.239 10.821
angles: 90.00 90.00 90.00
Space group P-4m2 (No. 115)
Asymmetric unit:
Pu (0.000, 0.500, 0.245) [2 per cell]
Ga (0.000, 0.000, 0.000) [1 per cell]
Ga (0.000, 0.500, 0.637) [2 per cell]
Ga (0.500, 0.500, 0.000) [1 per cell]
Pd (0.000, 0.500, 0.867) [2 per cell]
Pd (0.500, 0.500, 0.500) [1 per cell]
Au (0.000, 0.000, 0.500) [1 per cell]

Summary:
- Fermi-level density of states: 2.810 states/eV per atom
- V: 19.45 Å³/atom
- M_tot: 11.22 Bohr magnetons per cell
- Uncorrected energy: -0.4779 Ry per atom

***

6.
A relaxed structure of UHg3Se2F6, computed with GGA-PBE.

abc: 15.855 7.574 5.169
angles: 90.00 107.85 90.00
Space group C2/m (No. 12)
Asymmetric unit:
U (0.000, 0.000, 0.000) [2 per cell]
Hg (0.000, 0.500, 0.500) [2 per cell]
Hg (0.250, 0.250, 0.000) [4 per cell]
Se (0.189, 0.500, 0.672) [4 per cell]
F (0.081, 0.199, 0.226) [8 per cell]
F (0.083, 0.000, 0.753) [4 per cell]

Summary:
- Formation energy without anion corrections: -2.039 eV per atom
- Fermi-level density of states: 0.487 states/eV per atom
- V: 24.62 Å³/atom
- M_tot: 1.81 Bohr magnetons per cell

***

7.
A relaxed structure of GaTeMo2Ru, computed with GGA-PBE.

abc: 5.000 5.000 5.198
angles: 90.00 90.00 90.00
Space group P4/mmm (No. 123)
Asymmetric unit:
Ga (0.000, 0.000, 0.000) [1 per cell]
Te (0.500, 0.500, 0.000) [1 per cell]
Mo (0.000, 0.500, 0.500) [2 per cell]
Ru (0.500, 0.500, 0.500) [1 per cell]

Summary:
- Formation energy without anion corrections: 1.410 eV per atom
- Fermi-level density of states: 1.053 states/eV per atom
- V: 25.99 Å³/atom
- M_tot: 4.82 Bohr magnetons per cell

***

8.
A relaxed structure of CeZrIn2, computed with GGA-PBE.

abc: 3.2389 3.2389 32.4952
angles: 90.00 90.00 120.00
Space group R-3m (No. 166, hexagonal axes)
Asymmetric unit:
Ce (0.0000, 0.0000, 0.0000) [3 per cell]
Zr (0.0000, 0.0000, 0.5000) [3 per cell]
In (0.0000, 0.0000, 0.2457) [6 per cell]

Summary:
- Fermi-level density of states: 1.448 states/eV per atom
- V: 24.60 Å³/atom
- M_tot: 0.04 Bohr magnetons per cell
- Uncorrected energy: -0.3805 Ry per atom